NaInAg3 (PBE-GGA, optimized geometry); formation energy = 27.68 kJ/mol of atoms
1.0
-0.964 -4.097 3.209
5.160 -1.178 0.046
0.679 3.137 4.209
Ag Na In
3 1 1
Cartesian
2.580 -0.589 0.023 Ag
0.340 1.568 2.105 Ag
-0.482 -2.049 1.605 Ag
2.438 -1.070 3.732 Na
0.000 0.000 0.000 In

---

Na2InAg2 (PBE-GGA, optimized geometry); formation energy = -3.83 kJ/mol of atoms
1.0
7.363 0.000 0.000
0.000 7.363 0.000
0.000 0.000 4.545
In Ag Na
2 4 4
Cartesian
3.681 3.681 0.000 In
0.000 0.000 0.000 In
0.996 2.685 0.000 Ag
2.685 6.367 0.000 Ag
4.677 0.996 0.000 Ag
6.367 4.677 0.000 Ag
6.128 2.446 2.272 Na
4.917 6.128 2.272 Na
2.446 1.235 2.272 Na
1.235 4.917 2.272 Na

---

NaIn2Ag (PBE-GGA, optimized geometry); formation energy = -4.37 kJ/mol of atoms
1.0
4.573 0.000 0.000
0.000 4.512 0.000
0.000 0.000 4.512
Ag In Na
1 2 1
Cartesian
2.286 0.000 0.000 Ag
0.000 2.256 0.000 In
0.000 0.000 2.256 In
2.286 2.256 2.256 Na

---

NaIn3Ag6 (PBE-GGA, optimized geometry); formation energy = -0.99 kJ/mol of atoms
1.0
5.221 0.183 -0.678
0.702 7.506 -2.917
-1.506 -0.270 10.610
In Ag Na
6 12 2
Cartesian
1.108 4.009 2.404 In
3.307 3.411 4.612 In
0.275 5.517 8.209 In
0.464 2.474 7.242 In
3.951 4.946 -0.226 In
4.141 1.903 -1.193 In
0.078 0.194 9.232 Ag
0.815 4.832 5.389 Ag
0.589 1.845 4.341 Ag
3.600 2.588 1.627 Ag
1.302 6.311 0.455 Ag
1.429 3.309 -0.465 Ag
4.338 7.226 -2.216 Ag
2.987 4.111 7.481 Ag
0.984 1.103 1.565 Ag
3.114 1.109 6.561 Ag
3.827 5.575 2.675 Ag
3.431 6.317 5.450 Ag
3.185 0.408 3.635 Na
1.231 7.012 3.380 Na

---

Na3In8Ag3 (PBE-GGA, optimized geometry); formation energy = -7.94 kJ/mol of atoms
1.0
0.173 -4.361 2.162
8.061 -3.180 -1.572
3.887 1.297 7.795
Na Ag In
3 3 8
Cartesian
2.696 -3.830 3.032 Na
9.424 -2.413 5.353 Na
6.060 -3.122 4.192 Na
7.479 -2.556 -0.267 Ag
4.468 0.674 6.490 Ag
0.086 -2.181 1.081 Ag
5.654 -4.772 0.895 In
3.215 -2.156 6.368 In
7.109 -4.387 7.044 In
6.466 -1.472 7.490 In
5.011 -1.857 1.341 In
8.905 -4.088 2.016 In
8.220 -5.579 4.550 In
3.900 -0.665 3.835 In

---

Na2InAg2 (PBE-GGA, optimized geometry); formation energy = 7.14 kJ/mol of atoms
1.0
-2.699 -8.200 -0.895
8.224 -2.747 0.371
-0.228 -0.263 3.096
Ag In Na
4 2 4
Cartesian
4.912 -3.316 1.647 Ag
0.386 -7.894 0.925 Ag
0.343 -3.330 1.310 Ag
4.954 -7.880 1.262 Ag
2.763 -5.473 -0.262 In
0.000 0.000 0.000 In
2.860 -8.851 -0.542 Na
6.143 -5.397 -0.007 Na
-0.618 -5.549 -0.517 Na
2.666 -2.096 0.018 Na

---

Na2In9Ag6 (PBE-GGA, optimized geometry); formation energy = 7.38 kJ/mol of atoms
1.0
6.230 0.000 0.000
-3.115 5.395 0.000
0.000 0.000 13.688
In Na Ag
9 2 6
Cartesian
3.115 0.000 2.266 In
-1.558 2.698 2.266 In
1.558 2.698 6.844 In
-1.558 2.698 6.844 In
3.115 0.000 6.844 In
1.558 2.698 11.422 In
3.115 0.000 11.422 In
1.558 2.698 2.266 In
-1.558 2.698 11.422 In
0.000 0.000 9.012 Na
0.000 0.000 4.677 Na
3.115 1.798 4.555 Ag
0.000 3.597 4.555 Ag
0.000 3.597 9.133 Ag
3.115 1.798 9.133 Ag
3.115 1.798 0.000 Ag
0.000 3.597 0.000 Ag

---

NaIn2Ag4 (PBE-GGA, optimized geometry); formation energy = -4.36 kJ/mol of atoms
1.0
-7.358 -3.302 -2.346
0.504 2.480 -4.993
6.064 -5.278 2.867
In Ag Na
4 8 2
Cartesian
0.522 -3.268 -1.448 In
-0.450 0.886 -4.072 In
-3.431 -3.110 -4.652 In
1.340 -6.754 0.711 In
-2.792 -0.412 -5.055 Ag
0.413 -6.163 -1.996 Ag
-5.248 -4.494 -2.296 Ag
-1.727 -1.409 -2.209 Ag
2.950 -4.076 0.262 Ag
1.314 -0.859 -2.830 Ag
-0.460 -2.403 -4.540 Ag
3.418 -2.733 -2.161 Ag
-1.532 -7.718 -0.312 Na
-2.209 -4.685 -2.283 Na